# 1
{"formula": "Sc2TiAl2Pt5", "functional": "PBE", "state": "relaxed", "cell": [[9.451, 0.000, 0.000], [0.000, 9.451, 0.000], [0.000, 0.000, 3.725]], "species": ["Sc", "Sc", "Sc", "Sc", "Ti", "Ti", "Al", "Al", "Al", "Al", "Pt", "Pt", "Pt", "Pt", "Pt", "Pt", "Pt", "Pt", "Pt", "Pt"], "fractional_positions": [[0.174, 0.326, 0.000], [0.326, 0.826, 0.000], [0.674, 0.174, 0.000], [0.826, 0.674, 0.000], [0.000, 0.000, 0.000], [0.500, 0.500, 0.000], [0.126, 0.626, 0.000], [0.374, 0.126, 0.000], [0.626, 0.874, 0.000], [0.874, 0.374, 0.000], [0.000, 0.500, 0.500], [0.066, 0.798, 0.500], [0.202, 0.066, 0.500], [0.298, 0.566, 0.500], [0.434, 0.298, 0.500], [0.500, 0.000, 0.500], [0.566, 0.702, 0.500], [0.702, 0.434, 0.500], [0.798, 0.934, 0.500], [0.934, 0.202, 0.500]], "m_tot_mub_per_cell": 0.00, "delta_e_f_mev_per_atom": -1013}


# 2
{"formula": "TmSc2AlPt4", "functional": "PBE", "state": "relaxed", "cell": [[2.296, 1.326, 7.857], [-2.296, 1.326, 7.857], [0.000, -2.651, 7.857]], "species": ["Tm", "Sc", "Sc", "Al", "Pt", "Pt", "Pt", "Pt"], "fractional_positions": [[0.000, 0.000, 0.000], [0.246, 0.246, 0.246], [0.754, 0.754, 0.754], [0.500, 0.500, 0.500], [0.129, 0.129, 0.129], [0.391, 0.391, 0.391], [0.609, 0.609, 0.609], [0.871, 0.871, 0.871]], "m_tot_mub_per_cell": 0.00, "delta_e_f_mev_per_atom": -1183}


# 3
{"formula": "ScAl2VPt", "functional": "PBE", "state": "relaxed", "cell": [[4.902, 0.000, 0.000], [0.000, 4.902, 0.000], [0.000, 0.000, 4.166]], "species": ["Sc", "Al", "Al", "V", "Pt"], "fractional_positions": [[0.000, 0.000, 0.000], [0.000, 0.500, 0.000], [0.500, 0.000, 0.000], [0.000, 0.000, 0.500], [0.500, 0.500, 0.500]], "m_tot_mub_per_cell": 0.00, "delta_e_f_mev_per_atom": 1229}